A geometry-optimized Pm2Ni4B structure, computed with PBE.

- symmetry = I4/mmm (139)
- DOS at the Fermi energy (states/eV per cell) = 3.4
- polymorph energy (0 for the lowest one) (eV/atom) = 0.083
- formation enthalpy at 0 K (eV per atom) = -0.212

Cell lengths 5.1908, 5.1908, 5.7399 Å; angles 116.88, 116.86, 90.03 degrees
Closest atoms and distances in Å follow each position.
Sites, in units of the cell vectors:
Ni  0.2653  0.2653  0.0000  1 B 1.95
Pm  0.7500  0.2500  0.5000  8 Ni 2.87
Ni  0.7349  0.2651  0.0000  1 B 1.95
Ni  0.2651  0.7349  0.0000  1 B 1.95
Ni  0.7347  0.7347  0.0000  1 B 1.95
B  0.0000  0.0000  0.9999  4 Ni 1.95
Pm  0.2500  0.7500  0.5000  8 Ni 2.87